Entry 1:
{
  "formula": "Pm2SmMg3",
  "functional": "PBE",
  "state": "relaxed",
  "lattice_angstrom": [[-3.680, 0.890, 0.743], [0.511, -0.975, 3.698], [3.126, 10.891, 2.440]],
  "species": ["Mg", "Mg", "Sm", "Pm", "Pm", "Mg"],
  "fractional_positions": [[0.000, 0.000, 0.000], [0.000, 0.000, 0.335], [0.500, 0.500, 0.500], [0.500, 0.500, 0.168], [0.500, 0.500, 0.832], [0.000, 0.000, 0.665]],
  "spacegroup": "No. 123",
  "volume_a3_per_atom": 28.8,
  "total_energy_ev_per_cell": -19.63
}

=====

Entry 2:
{
  "formula": "AlReRu3",
  "functional": "PBE",
  "state": "relaxed",
  "lattice_angstrom": [[-1.497, -3.437, -2.757], [2.385, -3.080, 2.545], [-3.705, -0.594, 2.752]],
  "species": ["Al", "Re", "Ru", "Ru", "Ru"],
  "fractional_positions": [[0.500, 0.500, 0.500], [0.000, 0.000, 0.000], [0.500, 0.000, 0.000], [0.000, 0.500, 0.000], [0.000, 0.000, 0.500]],
  "spacegroup": "No. 221",
  "volume_a3_per_atom": 20.2,
  "total_energy_ev_per_cell": -36.53
}

=====

Entry 3:
{
  "formula": "Sb2TeSeN",
  "functional": "PBE",
  "state": "relaxed",
  "lattice_angstrom": [[-0.744, 4.706, -1.158], [-2.588, -1.377, -3.930], [-3.859, 0.014, 2.537]],
  "species": ["Se", "Sb", "Sb", "Te", "N"],
  "fractional_positions": [[0.500, 0.500, 0.500], [0.500, 0.000, 0.000], [0.000, 0.500, 0.000], [0.000, 0.000, 0.500], [0.000, 0.000, 0.000]],
  "raw_formation_energy_ev_per_fu": 3.5,
  "spacegroup": "No. 123",
  "volume_a3_per_atom": 22.2,
  "total_energy_ev_per_cell": -19.68
}

=====

Entry 4:
{
  "formula": "AgP3",
  "functional": "PBE",
  "state": "relaxed",
  "lattice_angstrom": [[-1.328, 3.720, -3.680], [-3.992, -1.034, -3.484], [1.387, 0.446, 5.198]],
  "species": ["P", "Ag", "P", "P"],
  "fractional_positions": [[0.000, 0.500, 0.500], [0.500, 0.000, 0.500], [0.808, 0.808, 0.000], [0.192, 0.192, 0.000]],
  "spacegroup": "No. 71",
  "volume_a3_per_atom": 16.4,
  "total_energy_ev_per_cell": -17.04
}

=====

Entry 5:
{
  "formula": "Rb2HfCuCl6",
  "functional": "PBE",
  "state": "relaxed",
  "lattice_angstrom": [[-1.536, 4.520, 6.256], [0.534, -6.302, 4.684], [3.948, -0.117, 6.004]],
  "species": ["Hf", "Cl", "Rb", "Cl", "Cl", "Cl", "Cl", "Cu", "Rb", "Cl"],
  "fractional_positions": [[0.000, 0.000, 0.000], [0.226, 0.226, 0.000], [0.750, 0.250, 0.500], [0.730, 0.730, 0.540], [0.774, 0.226, 0.000], [0.774, 0.774, 0.000], [0.270, 0.270, 0.460], [0.500, 0.500, 0.000], [0.250, 0.750, 0.500], [0.226, 0.774, 0.000]],
  "raw_formation_energy_ev_per_fu": -14.6,
  "spacegroup": "No. 139",
  "volume_a3_per_atom": 28.2,
  "total_energy_ev_per_cell": -41.65
}

=====

Entry 6:
{
  "formula": "Sc4ZnPt2",
  "functional": "PBE",
  "state": "relaxed",
  "lattice_angstrom": [[4.424, 0.000, 1.382], [1.996, 3.948, 1.382], [-0.060, -0.037, 7.965]],
  "species": ["Sc", "Sc", "Sc", "Pt", "Pt", "Sc", "Zn"],
  "fractional_positions": [[0.128, 0.128, 0.615], [0.380, 0.380, 0.859], [0.620, 0.620, 0.141], [0.748, 0.748, 0.755], [0.252, 0.252, 0.245], [0.872, 0.872, 0.385], [0.000, 0.000, 0.000]],
  "spacegroup": "No. 166",
  "volume_a3_per_atom": 19.9,
  "total_energy_ev_per_cell": -44.71
}